Record 1
Compound: PaMn2GaGe4
Source: Alexandria
Functional: GGA-PBE
Structure: optimized geometry

a = 4.8906 Å, b = 4.8906 Å, c = 6.1997 Å
α = 90.00°, β = 90.00°, γ = 90.00°
Last column: nearest neighbours and their distance in Å.
Atoms (fractional coordinates):
Pa: 0.0000 0.0000 0.0000  8 Ge 3.01, 2 Ga 3.10
Mn: 0.5000 0.5000 0.3450  1 Mn 1.92
Mn: 0.5000 0.5000 0.6550  1 Mn 1.92
Ga: 0.0000 0.0000 0.5000  8 Ge 2.79, 2 Pa 3.10
Ge: 0.0000 0.5000 0.2835  2 Mn 2.47, 1 Ge 2.68
Ge: 0.0000 0.5000 0.7165  2 Mn 2.47, 1 Ge 2.68
Ge: 0.5000 0.0000 0.2835  2 Mn 2.47, 1 Ge 2.68
Ge: 0.5000 0.0000 0.7165  2 Mn 2.47, 1 Ge 2.68

The calculation puts the formation energy at 0.21 eV per atom. The density is 7.85 g/cm3. The value obtained for the final energy is -5.957 eV/atom.

---

Record 2
Compound: MnGaGe2Pt
Source: Alexandria
Functional: GGA-PBE
Structure: optimized geometry

a = 4.5812 Å, b = 4.5812 Å, c = 4.6941 Å
α = 90.00°, β = 90.00°, γ = 90.00°
Last column: nearest neighbours and their distance in Å.
Atoms (fractional coordinates):
Mn: 0.0000 0.0000 0.0000  4 Ge 2.29, 2 Ga 2.35
Ga: 0.0000 0.0000 0.5000  2 Mn 2.35
Ge: 0.0000 0.5000 0.0000  2 Mn 2.29
Ge: 0.5000 0.0000 0.0000  2 Mn 2.29
Pt: 0.5000 0.5000 0.5000  4 Ga 3.24, 8 Ge 3.28

The calculation puts the formation energy at 0.39 eV per atom. The density is 7.84 g/cm3. The value obtained for the final energy is -5.102 eV/atom.

---

Record 3
Compound: MnGaGeRh
Source: Alexandria
Functional: GGA-PBE
Structure: optimized geometry

a = 4.2267 Å, b = 4.2267 Å, c = 4.2267 Å
α = 60.00°, β = 60.00°, γ = 60.00°
Last column: nearest neighbours and their distance in Å.
Atoms (fractional coordinates):
Mn: 0.0000 0.0000 0.0000  4 Ge 2.59, 4 Ga 2.59
Ga: 0.2500 0.2500 0.2500  4 Rh 2.59, 4 Mn 2.59
Ge: 0.7500 0.7500 0.7500  4 Mn 2.59, 4 Rh 2.59
Rh: 0.5000 0.5000 0.5000  4 Ge 2.59, 4 Ga 2.59

The calculation puts the formation energy at -0.21 eV per atom. The density is 9.34 g/cm3. The value obtained for the final energy is -6.247 eV/atom.

---

Record 4
Compound: Sc2Mn12GaGe11
Source: Alexandria
Functional: GGA-PBE
Structure: optimized geometry

a = 5.1145 Å, b = 5.1145 Å, c = 16.2043 Å
α = 90.00°, β = 90.00°, γ = 120.00°
Last column: nearest neighbours and their distance in Å.
Atoms (fractional coordinates):
Sc: 0.0000 0.0000 0.2502  8 Ge 2.74-2.95
Sc: 0.0000 0.0000 0.7498  8 Ge 2.74-2.95
Mn: 0.0002 0.5001 0.1250  6 Ge 2.50-2.66, 4 Mn 2.56
Mn: 0.0002 0.5001 0.8750  6 Ge 2.50-2.66, 4 Mn 2.56
Mn: 0.4999 0.9998 0.1250  6 Ge 2.50-2.66, 4 Mn 2.56
Mn: 0.4999 0.9998 0.8750  6 Ge 2.50-2.66, 4 Mn 2.56
Mn: 0.5004 0.0008 0.3729  5 Ge 2.49-2.67, 1 Ga 2.54, 4 Mn 2.55-2.56
Mn: 0.5004 0.0008 0.6271  5 Ge 2.49-2.67, 1 Ga 2.54, 4 Mn 2.55-2.56
Mn: 0.4999 0.5001 0.1250  6 Ge 2.50-2.66, 4 Mn 2.56
Mn: 0.5004 0.4996 0.3729  5 Ge 2.49-2.67, 1 Ga 2.54, 4 Mn 2.55-2.56
Mn: 0.5004 0.4996 0.6271  5 Ge 2.49-2.67, 1 Ga 2.54, 4 Mn 2.55-2.56
Mn: 0.4999 0.5001 0.8750  6 Ge 2.50-2.66, 4 Mn 2.56
Mn: 0.9992 0.4996 0.3729  5 Ge 2.49-2.67, 1 Ga 2.54, 4 Mn 2.55-2.56
Mn: 0.9992 0.4996 0.6271  5 Ge 2.49-2.67, 1 Ga 2.54, 4 Mn 2.55-2.56
Ga: 0.3333 0.6667 0.5000  6 Mn 2.54
Ge: 0.0000 0.0000 0.0805  1 Ge 2.61, 6 Mn 2.66, 1 Sc 2.75
Ge: 0.0000 0.0000 0.4195  1 Ge 2.61, 6 Mn 2.67, 1 Sc 2.74
Ge: 0.0000 0.0000 0.5805  1 Ge 2.61, 6 Mn 2.67, 1 Sc 2.74
Ge: 0.0000 0.0000 0.9195  1 Ge 2.61, 6 Mn 2.66, 1 Sc 2.75
Ge: 0.3333 0.6667 0.0000  6 Mn 2.51
Ge: 0.3333 0.6667 0.2495  6 Mn 2.49-2.50
Ge: 0.3333 0.6667 0.7505  6 Mn 2.49-2.50
Ge: 0.6667 0.3333 0.0000  6 Mn 2.51
Ge: 0.6667 0.3333 0.2493  6 Mn 2.49-2.50
Ge: 0.6667 0.3333 0.5000  6 Mn 2.53
Ge: 0.6667 0.3333 0.7507  6 Mn 2.49-2.50

The calculation puts the formation energy at -0.31 eV per atom. The density is 7.32 g/cm3. The value obtained for the final energy is -7.104 eV/atom.

---

Record 5
Compound: ScMn6GaGe5
Source: Alexandria
Functional: GGA-PBE
Structure: optimized geometry

a = 5.0975 Å, b = 5.0975 Å, c = 8.1504 Å
α = 90.00°, β = 90.00°, γ = 120.00°
Last column: nearest neighbours and their distance in Å.
Atoms (fractional coordinates):
Sc: 0.0000 0.0000 0.0000  8 Ge 2.76-2.94
Mn: 0.0007 0.5004 0.2467  5 Ge 2.49-2.66, 1 Ga 2.54, 4 Mn 2.54-2.55
Mn: 0.0007 0.5004 0.7533  5 Ge 2.49-2.66, 1 Ga 2.54, 4 Mn 2.54-2.55
Mn: 0.4996 0.5004 0.2467  5 Ge 2.49-2.66, 1 Ga 2.54, 4 Mn 2.54-2.55
Mn: 0.4996 0.5004 0.7533  5 Ge 2.49-2.66, 1 Ga 2.54, 4 Mn 2.54-2.55
Mn: 0.4996 0.9993 0.2467  5 Ge 2.49-2.66, 1 Ga 2.54, 4 Mn 2.54-2.55
Mn: 0.4996 0.9993 0.7533  5 Ge 2.49-2.66, 1 Ga 2.54, 4 Mn 2.54-2.55
Ga: 0.6667 0.3333 0.5000  6 Mn 2.54
Ge: 0.0000 0.0000 0.3383  1 Ge 2.64, 6 Mn 2.66, 1 Sc 2.76
Ge: 0.0000 0.0000 0.6617  1 Ge 2.64, 6 Mn 2.66, 1 Sc 2.76
Ge: 0.3333 0.6667 0.0000  6 Mn 2.49
Ge: 0.3333 0.6667 0.5000  6 Mn 2.53
Ge: 0.6667 0.3333 0.0000  6 Mn 2.49

The calculation puts the formation energy at -0.31 eV per atom. The density is 7.31 g/cm3. The value obtained for the final energy is -7.033 eV/atom.

---

Record 6
Compound: MnGa2GeSe6
Source: Alexandria
Functional: GGA-PBE
Structure: optimized geometry

a = 8.5375 Å, b = 8.5375 Å, c = 6.7434 Å
α = 99.09°, β = 99.09°, γ = 85.00°
Last column: nearest neighbours and their distance in Å.
Atoms (fractional coordinates):
Mn: 0.0992 0.9008 0.7500  6 Se 2.50-2.68
Mn: 0.9008 0.0992 0.2500  6 Se 2.50-2.68
Ga: 0.2200 0.4016 0.7113  4 Se 2.41-2.53
Ga: 0.4016 0.2200 0.2113  4 Se 2.41-2.53
Ga: 0.5984 0.7800 0.7887  4 Se 2.41-2.53
Ga: 0.7800 0.5984 0.2887  4 Se 2.41-2.53
Ge: 0.2486 0.7514 0.2500  6 Se 2.67-2.82
Ge: 0.7514 0.2486 0.7500  6 Se 2.67-2.82
Se: 0.0307 0.1811 0.6139  1 Ga 2.53, 2 Mn 2.54-2.68, 1 Ge 2.67
Se: 0.0905 0.6428 0.8775  1 Ga 2.45, 1 Mn 2.50, 1 Ge 2.72
Se: 0.1811 0.0307 0.1139  1 Ga 2.53, 2 Mn 2.54-2.68, 1 Ge 2.67
Se: 0.2877 0.4564 0.3964  2 Ga 2.41
Se: 0.3572 0.9095 0.6225  1 Ga 2.45, 1 Mn 2.50, 1 Ge 2.72
Se: 0.4564 0.2877 0.8964  2 Ga 2.41
Se: 0.5436 0.7123 0.1036  2 Ga 2.41
Se: 0.6428 0.0905 0.3775  1 Ga 2.45, 1 Mn 2.50, 1 Ge 2.72
Se: 0.7123 0.5436 0.6036  2 Ga 2.41
Se: 0.8189 0.9693 0.8861  1 Ga 2.53, 2 Mn 2.54-2.68, 1 Ge 2.67
Se: 0.9095 0.3572 0.1225  1 Ga 2.45, 1 Mn 2.50, 1 Ge 2.72
Se: 0.9693 0.8189 0.3861  1 Ga 2.53, 2 Mn 2.54-2.68, 1 Ge 2.67

The density is 5.14 g/cm3. The calculation puts the energy relative to the elements, uncorrected at -0.38 eV per atom. The value obtained for the final energy is -4.450 eV/atom.

---

Record 7
Compound: SrMnGa2Ge
Source: Alexandria
Functional: GGA-PBE
Structure: optimized geometry

a = 4.6975 Å, b = 4.6975 Å, c = 4.6235 Å
α = 90.00°, β = 90.00°, γ = 90.00°
Last column: nearest neighbours and their distance in Å.
Atoms (fractional coordinates):
Sr: 0.0000 0.0000 0.0000  8 Ga 3.30, 4 Ge 3.32
Mn: 0.5000 0.5000 0.5000  2 Ge 2.31, 4 Ga 2.35
Ga: 0.0000 0.5000 0.5000  2 Mn 2.35
Ga: 0.5000 0.0000 0.5000  2 Mn 2.35
Ge: 0.5000 0.5000 0.0000  2 Mn 2.31

The calculation puts the formation energy at -0.29 eV per atom. The density is 5.77 g/cm3. The value obtained for the final energy is -4.596 eV/atom.

---

Record 8
Compound: SrMnGaGe2
Source: Alexandria
Functional: GGA-PBE
Structure: optimized geometry

a = 4.6943 Å, b = 4.6943 Å, c = 4.7352 Å
α = 90.00°, β = 90.00°, γ = 90.00°
Last column: nearest neighbours and their distance in Å.
Atoms (fractional coordinates):
Sr: 0.0000 0.0000 0.0000  4 Ga 3.32, 8 Ge 3.33
Mn: 0.5000 0.5000 0.5000  4 Ge 2.35, 2 Ga 2.37
Ga: 0.5000 0.5000 0.0000  2 Mn 2.37
Ge: 0.0000 0.5000 0.5000  2 Mn 2.35
Ge: 0.5000 0.0000 0.5000  2 Mn 2.35

The calculation puts the formation energy at -0.22 eV per atom. The density is 5.69 g/cm3. The value obtained for the final energy is -4.838 eV/atom.

---

Record 9
Compound: SrMn2GaGe
Source: Alexandria
Functional: GGA-PBE
Structure: optimized geometry

a = 4.7322 Å, b = 4.7322 Å, c = 5.6153 Å
α = 90.00°, β = 90.00°, γ = 90.00°
Last column: nearest neighbours and their distance in Å.
Atoms (fractional coordinates):
Sr: 0.0000 0.0000 0.0000  2 Ge 2.81
Mn: 0.0000 0.5000 0.5000  2 Ge 2.37
Mn: 0.5000 0.0000 0.5000  2 Ge 2.37
Ga: 0.5000 0.5000 0.0000  4 Sr 3.35, 8 Mn 3.67
Ge: 0.0000 0.0000 0.5000  4 Mn 2.37

The calculation puts the formation energy at 0.44 eV per atom. The density is 4.49 g/cm3. The value obtained for the final energy is -5.095 eV/atom.

---

Record 10
Compound: MnGaGeTe2
Source: Alexandria
Functional: GGA-PBE
Structure: optimized geometry

a = 5.4117 Å, b = 5.4117 Å, c = 4.7485 Å
α = 90.00°, β = 90.00°, γ = 90.00°
Last column: nearest neighbours and their distance in Å.
Atoms (fractional coordinates):
Mn: 0.0000 0.0000 0.0000  2 Ge 2.37
Ga: 0.5000 0.5000 0.5000  8 Te 3.60, 4 Ge 3.83
Ge: 0.0000 0.0000 0.5000  2 Mn 2.37
Te: 0.0000 0.5000 0.0000  2 Mn 2.71
Te: 0.5000 0.0000 0.0000  2 Mn 2.71

The density is 5.40 g/cm3. The calculation puts the energy relative to the elements, uncorrected at 0.39 eV per atom. The value obtained for the final energy is -4.233 eV/atom.